Compound: Be2Zn2F7
Source: Alexandria
Functional: PBE
Structure: relaxed

POSCAR file:
```
Be2Zn2F7
1.0
3.379 -4.327 0.000
3.379 4.327 0.000
-1.041 0.000 4.546
Be Zn F
2 2 7
direct
0.210 0.210 0.411
0.790 0.790 0.589
0.308 0.692 0.000
0.692 0.308 0.000
0.000 0.000 0.500
0.079 0.377 0.222
0.376 0.376 0.709
0.377 0.079 0.222
0.623 0.921 0.778
0.624 0.624 0.291
0.921 0.623 0.778
```

ΔE_f (raw) = -2.5446 eV per atom
volume = 12.08 A^3/atom
SG = C2/m